A.
Here is a relaxed Mg3CrNi crystal from Alexandria via LeMat-Bulk. Energies are from PBE.

Cell: 4.621 4.621 4.621 Å, 90.00 90.00 90.00°
Space group Pm-3m (No. 221)
One atom of each set of equivalent atoms:
Mg 0.000 0.000 0.500 (multiplicity 3)
Cr 0.500 0.500 0.500 (multiplicity 1)
Ni 0.000 0.000 0.000 (multiplicity 1)

***

B.
Here is a relaxed Mg3CrNi crystal from Alexandria via LeMat-Bulk. Energies are from PBE.

Cell: 5.031 5.031 5.031 Å, 90.00 90.00 90.00°
Space group Pm-3m (No. 221)
One atom of each set of equivalent atoms:
Mg 0.000 0.000 0.500 (multiplicity 3)
Cr 0.000 0.000 0.000 (multiplicity 1)
Ni 0.500 0.500 0.500 (multiplicity 1)

***

It turns out A is the most stable, with the second structure 268 meV/atom higher.

***

A.
Here is a relaxed Mg2Cr2Ni crystal from Alexandria via LeMat-Bulk. Energies are from PBE.

Cell: 7.358 7.358 2.949 Å, 90.00 90.00 90.00°
Space group P4/mbm (No. 127)
One atom of each set of equivalent atoms:
Mg 0.200 0.300 0.000 (multiplicity 4)
Cr 0.090 0.590 0.500 (multiplicity 4)
Ni 0.000 0.000 0.000 (multiplicity 2)

***

B.
Here is a relaxed Mg2Cr2Ni crystal from Alexandria via LeMat-Bulk. Energies are from PBE.

Cell: 3.148 3.148 15.872 Å, 90.00 90.00 90.00°
Space group I4/mmm (No. 139)
One atom of each set of equivalent atoms:
Mg 0.000 0.000 0.095 (multiplicity 4)
Cr 0.000 0.500 0.250 (multiplicity 4)
Ni 0.000 0.000 0.500 (multiplicity 2)

***

It turns out B is the most stable, with the second structure 259 meV/atom higher.